## InAgO (PBE)

Data for an optimized crystal structure of InAgO.

The structure belongs to space group Amm2 (No. 38); the cell edges are 11.037, 3.349 and 5.785 Å and the angles 90.00°, 90.00° and 90.00°. The inequivalent atoms are In at (0.206, 0.000, 0.000), Ag at (0.000, 0.000, 0.669), Ag at (0.500, 0.000, 0.333) and O at (0.307, 0.000, 0.334).

---

## MoOs2Cl (PBE)

Data for an optimized crystal structure of MoOs2Cl.

The calculation puts the energy above the most stable polymorph in this dataset at 0.226 eV/atom.

The structure belongs to space group Cm (No. 8); the cell edges are 8.384, 2.828 and 5.488 Å and the angles 90.00°, 98.32° and 90.00°. The inequivalent atoms are Mo at (0.000, 0.000, 0.000), Os at (0.047, 0.500, 0.467), Os at (0.307, 0.000, 0.650) and Cl at (0.228, 0.500, 0.118).

---

Per-record magnetic moment, μB per atom: 0.0000, 0.0000
Per-record theoretical density, g cm⁻³: 7.4, 13.2
Per-record uncorrected formation energy, eV/atom: -0.605, 0.698